[1]
First-principles (PBE) data for a relaxed structure of Tl5Pb4Au4, as listed in the Alexandria database.

a b c (Å): 8.8335 8.8335 8.8335
angles (deg): 94.42 94.42 147.78
Atoms (fractional coordinates):
Tl (0.0000, 0.0000, 0.0000)
Tl (0.3197, 0.6103, 0.9300)
Tl (0.3897, 0.3197, 0.7095)
Tl (0.6103, 0.6803, 0.2905)
Tl (0.6803, 0.3897, 0.0700)
Pb (0.1011, 0.3871, 0.4882)
Pb (0.3871, 0.8989, 0.2860)
Pb (0.6129, 0.1011, 0.7140)
Pb (0.8989, 0.6129, 0.5118)
Au (0.1041, 0.7572, 0.8613)
Au (0.2428, 0.1041, 0.3469)
Au (0.7572, 0.8959, 0.6531)
Au (0.8959, 0.2428, 0.1387)

Properties
* E_form: -0.005 eV/atom
* final energy: -3.0645 eV per atom
* symmetry: I4/m (87)
* ρ: 12.4 g/cm³
* D(E_F): 6.60 states/eV per cell


[2]
First-principles (PBE) data for a relaxed structure of Tl8Pb2Au3, as listed in the Alexandria database.

a b c (Å): 9.0135 5.1117 9.2758
angles (deg): 90.00 111.51 90.00
Atoms (fractional coordinates):
Tl (0.1111, 0.0000, 0.3843)
Tl (0.1445, 0.5000, 0.8724)
Tl (0.3666, 0.5000, 0.6390)
Tl (0.3769, 0.0000, 0.1131)
Tl (0.6231, 0.0000, 0.8869)
Tl (0.6334, 0.5000, 0.3610)
Tl (0.8555, 0.5000, 0.1276)
Tl (0.8889, 0.0000, 0.6157)
Pb (0.2476, 0.5000, 0.2543)
Pb (0.7524, 0.5000, 0.7457)
Au (0.0000, 0.5000, 0.5000)
Au (0.2646, 0.0000, 0.7629)
Au (0.7354, 0.0000, 0.2371)

Properties
* E_form: 0.049 eV/atom
* final energy: -2.7342 eV per atom
* symmetry: P2/m (10)
* ρ: 11.0 g/cm³
* D(E_F): 5.16 states/eV per cell


[3]
First-principles (PBE) data for a relaxed structure of Tl2Pb8Au, as listed in the Alexandria database.

a b c (Å): 4.9925 4.9925 13.5842
angles (deg): 90.00 90.00 90.00
Atoms (fractional coordinates):
Tl (0.0000, 0.0000, 0.1813)
Tl (0.0000, 0.0000, 0.8187)
Pb (0.0000, 0.5000, 0.0000)
Pb (0.0000, 0.5000, 0.3695)
Pb (0.0000, 0.5000, 0.6305)
Pb (0.5000, 0.0000, 0.0000)
Pb (0.5000, 0.0000, 0.3695)
Pb (0.5000, 0.0000, 0.6305)
Pb (0.5000, 0.5000, 0.1898)
Pb (0.5000, 0.5000, 0.8102)
Au (0.0000, 0.0000, 0.5000)

Properties
* E_form: -0.002 eV/atom
* final energy: -3.4273 eV per atom
* symmetry: P4/mmm (123)
* ρ: 11.1 g/cm³
* D(E_F): 7.63 states/eV per cell


[4]
First-principles (PBE) data for a relaxed structure of TlPb3Au3, as listed in the Alexandria database.

a b c (Å): 7.4254 7.4254 8.0566
angles (deg): 95.56 95.56 120.13
Atoms (fractional coordinates):
Tl (0.2351, 0.2351, 0.4844)
Tl (0.7649, 0.7649, 0.5156)
Pb (0.2106, 0.7894, 0.0000)
Pb (0.2571, 0.7429, 0.5000)
Pb (0.3711, 0.3711, 0.1343)
Pb (0.6289, 0.6289, 0.8657)
Pb (0.7429, 0.2571, 0.5000)
Pb (0.7894, 0.2106, 0.0000)
Au (0.0422, 0.0422, 0.8302)
Au (0.1400, 0.4450, 0.7556)
Au (0.4450, 0.1400, 0.7556)
Au (0.5550, 0.8600, 0.2444)
Au (0.8600, 0.5550, 0.2444)
Au (0.9578, 0.9578, 0.1698)

Properties
* E_form: -0.022 eV/atom
* excess energy over the best structure of this formula in the dataset: 22 meV/atom
* final energy: -3.3535 eV per atom
* symmetry: C2/m (12)
* ρ: 12.5 g/cm³
* D(E_F): 5.36 states/eV per cell


[5]
First-principles (PBE) data for a relaxed structure of TlPb2Au, as listed in the Alexandria database.

a b c (Å): 3.5124 3.5124 8.9545
angles (deg): 90.00 90.00 92.20
Atoms (fractional coordinates):
Tl (0.0000, 0.0000, 0.0000)
Pb (0.0000, 0.0000, 0.4224)
Pb (0.5000, 0.5000, 0.7117)
Au (0.5000, 0.5000, 0.2140)

Properties
* E_form: 0.001 eV/atom
* excess energy over the best structure of this formula in the dataset: 67 meV/atom
* final energy: -3.2645 eV per atom
* symmetry: Cmm2 (35)
* ρ: 12.3 g/cm³
* D(E_F): 1.95 states/eV per cell


[6]
First-principles (PBE) data for a relaxed structure of TlPbAu2, as listed in the Alexandria database.

a b c (Å): 6.1750 6.1750 6.1750
angles (deg): 148.04 128.09 62.27
Atoms (fractional coordinates):
Tl (0.0000, 0.0000, 0.0000)
Pb (0.7076, 0.2076, 0.5000)
Au (0.2536, 0.7536, 0.5000)
Au (0.4691, 0.4691, 0.0000)

Properties
* E_form: 0.006 eV/atom
* excess energy over the best structure of this formula in the dataset: 70 meV/atom
* final energy: -3.1514 eV per atom
* symmetry: Imm2 (44)
* ρ: 13.8 g/cm³
* D(E_F): 1.16 states/eV per cell


[7]
First-principles (PBE) data for a relaxed structure of Tl3PbAu8, as listed in the Alexandria database.

a b c (Å): 10.1505 10.1505 10.1505
angles (deg): 32.29 32.29 32.29
Atoms (fractional coordinates):
Tl (0.0000, 0.0000, 0.0000)
Tl (0.1240, 0.1240, 0.1240)
Tl (0.6320, 0.6320, 0.6320)
Pb (0.5083, 0.5083, 0.5083)
Au (0.0660, 0.0660, 0.5637)
Au (0.0660, 0.5637, 0.0660)
Au (0.0685, 0.5665, 0.5665)
Au (0.3163, 0.3163, 0.3163)
Au (0.5637, 0.0660, 0.0660)
Au (0.5665, 0.0685, 0.5665)
Au (0.5665, 0.5665, 0.0685)
Au (0.8160, 0.8160, 0.8160)

Properties
* E_form: -0.003 eV/atom
* final energy: -3.0881 eV per atom
* symmetry: R3m (160)
* ρ: 15.0 g/cm³
* D(E_F): 5.72 states/eV per cell


[8]
First-principles (PBE) data for a relaxed structure of Tl4Pb4Au, as listed in the Alexandria database.

a b c (Å): 8.9054 8.9054 8.9054
angles (deg): 92.28 92.28 156.97
Atoms (fractional coordinates):
Tl (0.0515, 0.3364, 0.3880)
Tl (0.3364, 0.9485, 0.2849)
Tl (0.6636, 0.0515, 0.7151)
Tl (0.9485, 0.6636, 0.6120)
Pb (0.3369, 0.3763, 0.7132)
Pb (0.3763, 0.6631, 0.0395)
Pb (0.6237, 0.3369, 0.9605)
Pb (0.6631, 0.6237, 0.2868)
Au (0.0000, 0.0000, 0.0000)

Properties
* E_form: -0.006 eV/atom
* final energy: -3.0701 eV per atom
* symmetry: I4/m (87)
* ρ: 11.3 g/cm³
* D(E_F): 4.93 states/eV per cell